No. 1
Here is Cs2Cd3 after structural relaxation from Alexandria. Energies are from PBE-GGA.

```
Cs2Cd3
1.0
5.110 0.000 0.000
-2.555 4.425 0.000
0.000 0.000 11.345
Cd Cs
3 2
Cartesian
2.555 1.475 10.799
0.000 2.950 0.547
0.000 0.000 0.000
2.555 1.475 3.283
0.000 2.950 8.062
```

- E above lowest polymorph (meV per atom) = 0
- calculated total energy (eV/atom) = -0.96


No. 2
Here is Cs2Cd4Cu after structural relaxation from Alexandria. Energies are from PBE-GGA.

```
Cs2Cd4Cu
1.0
5.306 0.000 0.000
0.000 5.306 0.000
-2.653 -2.653 9.995
Cd Cs Cu
4 2 1
Cartesian
2.653 2.653 7.424
2.653 0.000 0.000
0.000 0.000 2.570
0.000 2.653 0.000
0.000 0.000 6.781
2.653 2.653 3.213
0.000 0.000 0.000
```

- calculated total energy (eV/atom) = -1.30


No. 3
Here is CsCd9Cu2 after structural relaxation from Alexandria. Energies are from PBE-GGA.

```
CsCd9Cu2
1.0
4.242 0.000 0.000
0.000 7.825 -4.518
0.000 0.000 9.035
Cd Cs Cu
9 1 2
Cartesian
2.121 1.649 6.179
2.121 6.176 1.661
0.000 3.912 -2.259
2.121 3.298 0.000
2.121 4.527 4.518
2.121 6.176 -1.661
0.000 3.912 2.259
2.121 1.649 2.856
0.000 0.000 4.518
0.000 0.000 0.000
0.000 2.608 4.518
0.000 5.217 0.000
```

- calculated total energy (eV/atom) = -1.43